PuCo2Ge2: relaxed, PBE.

Unit cell a=5.383 b=9.211 c=13.338 alpha=90.00 beta=90.00 gamma=90.00
Space group Fddd (No. 70, origin choice 2)
One atom of each set of equivalent atoms:
Pu 0.125 0.125 0.125 x8
Co 0.125 0.332 0.625 x16
Ge 0.125 0.125 0.515 x16

Results
The final energy is -7.75 eV/atom. The volume is 16.534 A^3/atom. The crystal system is orthorhombic. Its density of states at the Fermi level is 11.83 states/eV/f.u.